# Mg7Cd4Ag, relaxed, DFT PBE-GGA
data_Mg7Cd4Ag
_chemical_formula_sum 'Mg7 Cd4 Ag1'
_cell_length_a 5.3198
_cell_length_b 5.5415
_cell_length_c 9.0017
_cell_angle_alpha 84.43
_cell_angle_beta 89.52
_cell_angle_gamma 86.86
_symmetry_space_group_name_H-M 'P -1'
_symmetry_Int_Tables_number 2
loop_
_symmetry_equiv_pos_as_xyz
'x,y,z'
'-x,-y,-z'
loop_
_atom_site_label
_atom_site_type_symbol
_atom_site_fract_x
_atom_site_fract_y
_atom_site_fract_z
Mg1 Mg 0.0000 0.0000 0.0000
Mg2 Mg 0.2504 0.3510 0.4647
Mg3 Mg 0.2702 0.8827 0.3071
Mg4 Mg 0.2810 0.4403 0.1143
Cd1 Cd 0.2199 0.3531 0.7888
Cd2 Cd 0.2466 0.8510 0.6606
Ag1 Ag 0.5000 0.0000 0.0000
# Calculated formation energy: -5.7 kJ per mole of atoms
# Relative energy among the computed polymorphs: 0 meV/atom
# Total magnetic moment: 0.0 μB per formula unit
# Total energy: -18.4 eV/cell